## Hf6AgO (GGA-PBE)

Data for a relaxed structure of Hf6AgO.

Lattice parameters (Å, degrees): 5.707 5.760 5.792 90.05 115.49 105.93
Space group P-1 (No. 2)
Symmetry-distinct sites (fractional):
Hf  0.100  0.142  0.275
Hf  0.245  0.684  0.225
Hf  0.271  0.506  0.743
Ag  0.500  0.000  0.000
O  0.500  0.500  0.500

## Properties
As for the total energy: -8.800 eV/atom. The value obtained for the density is 12.1 g/cm3. For the uncorrected formation energy, the calculation gives -0.358 eV per atom.

=====

## Hf4AgO (GGA-PBE)

Data for a relaxed structure of Hf4AgO.

Lattice parameters (Å, degrees): 7.424 12.959 5.527 90.00 120.35 90.00
Space group C2/c (No. 15)
Symmetry-distinct sites (fractional):
Hf  0.144  0.210  0.151
Hf  0.209  0.057  0.698
Ag  0.000  0.393  0.750
O  0.000  0.062  0.250

## Properties
As for the total energy: -8.544 eV/atom. The value obtained for the density is 12.1 g/cm3. For the uncorrected formation energy, the calculation gives -0.607 eV per atom.

=====

## Hf2AgO (GGA-PBE)

Data for a relaxed structure of Hf2AgO.

Lattice parameters (Å, degrees): 3.2809 3.2809 21.1420 90.00 90.00 120.00
Space group R3m (No. 160, hexagonal axes)
Symmetry-distinct sites (fractional):
Hf  0.0000  0.0000  0.0000
Hf  0.0000  0.0000  0.2166
Ag  0.0000  0.0000  0.4417
O  0.0000  0.0000  0.6107

## Properties
As for the total energy: -8.001 eV/atom. The value obtained for the density is 12.2 g/cm3. For the uncorrected formation energy, the calculation gives -1.072 eV per atom.

=====

## HfAg2O (GGA-PBE)

Data for a relaxed structure of HfAg2O.

Lattice parameters (Å, degrees): 8.732 8.732 4.024 90.00 90.00 90.00
Space group I-42d (No. 122)
Symmetry-distinct sites (fractional):
Hf  0.000  0.000  0.000
Ag  0.151  0.750  0.625
O  0.000  0.000  0.500

## Properties
As for the total energy: -5.685 eV/atom. The value obtained for the density is 8.9 g/cm3. For the uncorrected formation energy, the calculation gives -0.531 eV per atom.

=====

## HfAg3O (GGA-PBE)

Data for a relaxed structure of HfAg3O.

Lattice parameters (Å, degrees): 4.491 4.491 4.491 90.00 90.00 90.00
Space group Pm-3m (No. 221)
Symmetry-distinct sites (fractional):
Hf  0.000  0.000  0.000
Ag  0.000  0.500  0.500
O  0.500  0.500  0.500

## Properties
As for the total energy: -4.243 eV/atom. The value obtained for the density is 9.5 g/cm3. For the uncorrected formation energy, the calculation gives 0.450 eV per atom. Its polymorph energy (0 for the lowest one) is 0 meV/atom.

=====

## HfAgO2 (GGA-PBE)

Data for a relaxed structure of HfAgO2.

Lattice parameters (Å, degrees): 6.097 6.097 9.098 90.00 90.00 90.00
Space group I-42d (No. 122)
Symmetry-distinct sites (fractional):
Hf  0.000  0.000  0.000
Ag  0.000  0.000  0.500
O  0.071  0.250  0.125

## Properties
As for the total energy: -7.691 eV/atom. The value obtained for the density is 6.3 g/cm3. For the uncorrected formation energy, the calculation gives -2.011 eV per atom.

=====

## Hf2AgO (GGA-PBE)

Data for a relaxed structure of Hf2AgO.

Lattice parameters (Å, degrees): 5.535 5.535 10.494 90.00 90.00 90.00
Space group I-42d (No. 122)
Symmetry-distinct sites (fractional):
Hf  0.148  0.250  0.125
Ag  0.000  0.000  0.500
O  0.000  0.000  0.000

## Properties
As for the total energy: -7.786 eV/atom. The value obtained for the density is 9.9 g/cm3. For the uncorrected formation energy, the calculation gives -0.857 eV per atom.

=====

## Hf2AgO (GGA-PBE)

Data for a relaxed structure of Hf2AgO.

Lattice parameters (Å, degrees): 2.9941 2.9941 26.3845 90.00 90.00 120.00
Space group R-3m (No. 166, hexagonal axes)
Symmetry-distinct sites (fractional):
Hf  0.0000  0.0000  0.1079
Ag  0.0000  0.0000  0.0000
O  0.0000  0.0000  0.5000

## Properties
As for the total energy: -7.737 eV/atom. The value obtained for the density is 11.7 g/cm3. For the uncorrected formation energy, the calculation gives -0.808 eV per atom.

=====

Question: Which formula does entry 4 have?
Answer: HfAg2O

=====

Repeat the fifth record exactly.
## HfAg3O (GGA-PBE)

Data for a relaxed structure of HfAg3O.

Lattice parameters (Å, degrees): 4.491 4.491 4.491 90.00 90.00 90.00
Space group Pm-3m (No. 221)
Symmetry-distinct sites (fractional):
Hf  0.000  0.000  0.000
Ag  0.000  0.500  0.500
O  0.500  0.500  0.500

## Properties
As for the total energy: -4.243 eV/atom. The value obtained for the density is 9.5 g/cm3. For the uncorrected formation energy, the calculation gives 0.450 eV per atom. Its polymorph energy (0 for the lowest one) is 0 meV/atom.